(1)
Compound: MnTc2Pb
Source: Alexandria
Functional: SCAN
Structure: single point on PBEsol structure

Cell: 3.0285 4.4972 5.2894 Å, 115.16 106.64 90.00°
Last column: nearest neighbours and their distance in Å.
Element x y z (fractional)
Mn 0.5000 0.0000 0.0000  4 Tc 2.57, 4 Pb 2.71
Tc 0.2284 0.2284 0.4568  2 Mn 2.57, 4 Tc 2.74
Pb 0.0000 0.5000 0.0000  4 Mn 2.71, 4 Tc 2.89, 2 Pb 3.03
Tc 0.7716 0.7716 0.5432  2 Mn 2.57, 4 Tc 2.74

Results
- E_form: 1.8 eV/f.u.
- Symmetry: Immm, No. 71
- Crystal system: orthorhombic

(2)
Compound: MnTc2Pb
Source: Alexandria
Functional: SCAN
Structure: single point on PBEsol structure

Cell: 2.9055 2.9055 8.8542 Å, 80.56 80.56 60.00°
Last column: nearest neighbours and their distance in Å.
Element x y z (fractional)
Pb 0.0000 0.0000 0.0000  6 Pb 2.91, 6 Tc 2.99
Tc 0.7617 0.7617 0.7149  3 Mn 2.51
Mn 0.5000 0.5000 0.5000  6 Tc 2.51
Tc 0.2383 0.2383 0.2851  3 Mn 2.51

Results
- E_form: 2.3 eV/f.u.
- Symmetry: R-3m, No. 166
- Crystal system: trigonal

(3)
Compound: MnTcPb2
Source: Alexandria
Functional: SCAN
Structure: single point on PBEsol structure

Cell: 4.7318 4.7318 4.7318 Å, 60.00 60.00 60.00°
Last column: nearest neighbours and their distance in Å.
Element x y z (fractional)
Pb 0.7500 0.7500 0.7500  4 Tc 2.90, 4 Mn 2.90
Pb 0.2500 0.2500 0.2500  4 Mn 2.90, 4 Tc 2.90
Tc 0.5000 0.5000 0.5000  8 Pb 2.90
Mn 0.0000 0.0000 0.0000  8 Pb 2.90

Results
- E above lowest polymorph: 0.0 meV per atom
- E_form: 2.2 eV/f.u.
- Symmetry: Fm-3m, No. 225
- Crystal system: cubic

(4)
Compound: Mn2TePb
Source: Alexandria
Functional: SCAN
Structure: single point on PBEsol structure

Cell: 3.3109 3.3109 7.3557 Å, 90.00 90.00 90.00°
Last column: nearest neighbours and their distance in Å.
Element x y z (fractional)
Pb 0.0000 0.0000 0.4294  5 Mn 2.87-2.99
Mn 0.0000 0.0000 0.0223  4 Te 2.68, 4 Mn 2.70, 1 Pb 2.99
Te 0.5000 0.5000 0.8437  5 Mn 2.65-2.68
Mn 0.5000 0.5000 0.2045  1 Te 2.65, 4 Mn 2.70, 4 Pb 2.87

Results
- Symmetry: P4mm, No. 99
- ΔE_f (raw): -0.032 eV per atom
- Crystal system: tetragonal

(5)
Compound: YTi2MnPb
Source: Alexandria
Functional: SCAN
Structure: single point on PBEsol structure

Cell: 4.9523 5.1526 5.1526 Å, 90.00 90.00 90.00°
Last column: nearest neighbours and their distance in Å.
Element x y z (fractional)
Ti 0.0000 0.5000 0.0000  2 Pb 2.58
Ti 0.0000 0.0000 0.5000  2 Pb 2.58
Mn 0.5000 0.0000 0.0000  2 Pb 2.48
Y 0.5000 0.5000 0.5000  8 Ti 3.57, 4 Mn 3.64
Pb 0.0000 0.0000 0.0000  2 Mn 2.48, 4 Ti 2.58

Results
- E_form: 3.4 eV/f.u.
- Symmetry: P4/mmm, No. 123
- Crystal system: tetragonal

(6)
Compound: MnTl2Pb
Source: Alexandria
Functional: SCAN
Structure: single point on PBEsol structure

Cell: 3.3607 3.3607 10.1328 Å, 80.45 80.45 60.00°
Last column: nearest neighbours and their distance in Å.
Element x y z (fractional)
Mn 0.5000 0.5000 0.5000  6 Tl 2.90
Tl 0.2390 0.2390 0.2829  3 Mn 2.90
Tl 0.7610 0.7610 0.7171  3 Mn 2.90
Pb 0.0000 0.0000 0.0000  6 Pb 3.36, 6 Tl 3.42

Results
- E above lowest polymorph: 83.3 meV per atom
- E_form: 0.7 eV/f.u.
- Symmetry: R-3m, No. 166
- Crystal system: trigonal

no.,volume (Å³/cell),magnetization (μB per atom),DFT total energy (eV/atom)
1,62,0.582,-40.584
2,64,0.332,-40.456
3,75,0.979,-50.674
4,81,1.720,-37.417
5,131,1.612,-30.115
6,97,1.097,-59.520